DFT (PBE) results for a geometry-optimized LiHo2InS5 structure.

Summary:
The uncorrected formation energy comes out at -1.4560 eV per atom. For the spin magnetization, the calculation gives 0.000 μB per atom.

Cell and atoms, written as CIF:
```
data_LiHo2InS5
_chemical_formula_sum 'Li4 Ho8 In4 S20'
_symmetry_space_group_name_H-M 'C m c 21'
_symmetry_Int_Tables_number 36
_symmetry_space_group_name_Hall 'C 2c -2'
_cell_length_a 3.864
_cell_length_b 16.749
_cell_length_c 11.287
_cell_angle_alpha 90.00
_cell_angle_beta 90.00
_cell_angle_gamma 90.00
loop_
_atom_site_label
_atom_site_type_symbol
_atom_site_fract_x
_atom_site_fract_y
_atom_site_fract_z
Li1 Li 0.000 0.224 0.000
Ho1 Ho 0.000 0.125 0.662
Ho2 Ho 0.000 0.127 0.286
In1 In 0.000 0.420 0.458
S1 S 0.000 0.035 0.072
S2 S 0.000 0.299 0.644
S3 S 0.000 0.304 0.318
S4 S 0.000 0.362 0.981
S5 S 0.000 0.495 0.268
```



DFT (PBE) results for a geometry-optimized Dy2PuTl structure.

Summary:
As for the polymorph energy (0 for the lowest one): 0.0000 eV per atom. The calculation puts the energy of formation at -29 kJ/mol of formula units. For the spin magnetization, the calculation gives 1.473 μB per atom.

Cell and atoms, written as CIF:
```
data_Dy2PuTl
_chemical_formula_sum 'Dy2 Pu1 Tl1'
_symmetry_space_group_name_H-M 'P 4/m m m'
_symmetry_Int_Tables_number 123
_symmetry_space_group_name_Hall '-P 4 2'
_cell_length_a 3.525
_cell_length_b 3.525
_cell_length_c 9.081
_cell_angle_alpha 90.00
_cell_angle_beta 90.00
_cell_angle_gamma 90.00
loop_
_atom_site_label
_atom_site_type_symbol
_atom_site_fract_x
_atom_site_fract_y
_atom_site_fract_z
Dy1 Dy 0.000 0.000 0.239
Pu1 Pu 0.500 0.500 0.500
Tl1 Tl 0.500 0.500 0.000
```



DFT (PBE) results for a geometry-optimized Cd2H5Os structure.

Summary:
For the spin magnetization, the calculation gives 0.000 μB per atom.

Cell and atoms, written as CIF:
```
data_Cd2H5Os
_chemical_formula_sum 'Cd4 H10 Os2'
_symmetry_space_group_name_H-M 'C 1 m 1'
_symmetry_Int_Tables_number 8
_symmetry_space_group_name_Hall 'C -2y'
_cell_length_a 7.680
_cell_length_b 6.844
_cell_length_c 4.019
_cell_angle_alpha 90.00
_cell_angle_beta 120.74
_cell_angle_gamma 90.00
loop_
_atom_site_label
_atom_site_type_symbol
_atom_site_fract_x
_atom_site_fract_y
_atom_site_fract_z
Cd1 Cd 0.000 0.215 0.000
H1 H 0.144 0.248 0.651
H2 H 0.203 0.500 0.282
H3 H 0.420 0.000 0.617
H4 H 0.430 0.000 0.219
Os1 Os 0.140 0.500 0.639
```



DFT (PBE) results for a geometry-optimized OsRhAu structure.

Summary:
As for the polymorph energy (0 for the lowest one): 0.7700 eV per atom. The calculation puts the energy of formation at 249 kJ/mol of formula units. For the spin magnetization, the calculation gives 0.000 μB per atom.

Cell and atoms, written as CIF:
```
data_OsRhAu
_chemical_formula_sum 'Os4 Rh4 Au4'
_symmetry_space_group_name_H-M 'F -4 3 m'
_symmetry_Int_Tables_number 216
_symmetry_space_group_name_Hall 'F -4 2 3'
_cell_length_a 5.997
_cell_length_b 5.997
_cell_length_c 5.997
_cell_angle_alpha 90.00
_cell_angle_beta 90.00
_cell_angle_gamma 90.00
loop_
_atom_site_label
_atom_site_type_symbol
_atom_site_fract_x
_atom_site_fract_y
_atom_site_fract_z
Os1 Os 0.000 0.000 0.000
Rh1 Rh 0.250 0.250 0.250
Au1 Au 0.000 0.000 0.500
```



DFT (PBE) results for a geometry-optimized Pr2Tl8Pd structure.

Summary:
The calculation puts the energy of formation at -281 kJ/mol of formula units. For the spin magnetization, the calculation gives 0.000 μB per atom.

Cell and atoms, written as CIF:
```
data_Pr2Tl8Pd
_chemical_formula_sum 'Pr2 Tl8 Pd1'
_symmetry_space_group_name_H-M 'P 4/m m m'
_symmetry_Int_Tables_number 123
_symmetry_space_group_name_Hall '-P 4 2'
_cell_length_a 4.859
_cell_length_b 4.859
_cell_length_c 12.812
_cell_angle_alpha 90.00
_cell_angle_beta 90.00
_cell_angle_gamma 90.00
loop_
_atom_site_label
_atom_site_type_symbol
_atom_site_fract_x
_atom_site_fract_y
_atom_site_fract_z
Pr1 Pr 0.000 0.000 0.194
Tl1 Tl 0.000 0.500 0.000
Tl2 Tl 0.000 0.500 0.377
Tl3 Tl 0.500 0.500 0.187
Pd1 Pd 0.000 0.000 0.500
```



DFT (PBE) results for a geometry-optimized Y4SbRh structure.

Summary:
As for the polymorph energy (0 for the lowest one): 0.0000 eV per atom. The uncorrected formation energy comes out at -0.6938 eV per atom. For the spin magnetization, the calculation gives 0.000 μB per atom.

Cell and atoms, written as CIF:
```
data_Y4SbRh
_chemical_formula_sum 'Y8 Sb2 Rh2'
_symmetry_space_group_name_H-M 'P 1 21/m 1'
_symmetry_Int_Tables_number 11
_symmetry_space_group_name_Hall '-P 2yb'
_cell_length_a 6.125
_cell_length_b 6.575
_cell_length_c 8.684
_cell_angle_alpha 90.00
_cell_angle_beta 110.00
_cell_angle_gamma 90.00
loop_
_atom_site_label
_atom_site_type_symbol
_atom_site_fract_x
_atom_site_fract_y
_atom_site_fract_z
Y1 Y 0.005 0.000 0.208
Y2 Y 0.398 0.250 0.611
Y3 Y 0.434 0.250 0.101
Sb1 Sb 0.200 0.750 0.545
Rh1 Rh 0.269 0.750 0.072
```



Number 1: raw total energy -5.28 eV/atom. Number 2: raw total energy -6.55 eV/atom. Number 3: raw total energy -3.62 eV/atom. Number 4: raw total energy -6.43 eV/atom. Number 5: raw total energy -3.33 eV/atom. Number 6: raw total energy -6.92 eV/atom.